# ErLuSc | Alexandria | PBE | optimized geometry
data_ErLuSc
_chemical_formula_sum 'Er2 Lu2 Sc2'
_symmetry_space_group_name_H-M 'I 4 m m'
_symmetry_Int_Tables_number 107
_symmetry_space_group_name_Hall 'I 4 -2'
_cell_length_a 3.421
_cell_length_b 3.421
_cell_length_c 14.379
_cell_angle_alpha 90.00
_cell_angle_beta 90.00
_cell_angle_gamma 90.00
loop_
_atom_site_label
_atom_site_type_symbol
_atom_site_fract_x
_atom_site_fract_y
_atom_site_fract_z
Er1 Er 0.000 0.000 0.000
Lu1 Lu 0.000 0.000 0.675
Sc1 Sc 0.000 0.000 0.337
# Total DFT energy (no corrections): -15.275 eV per formula unit
# Energy above the lowest structure with this stoichiometry: 0.0 meV/atom
# Theoretical density: 7.6 g/cm3
# Formation enthalpy at 0 K: 0.05 eV/atom
# M_tot: 0.0000 μB per atom

# Be2SiRu3 | Alexandria | PBE | optimized geometry
data_Be2SiRu3
_chemical_formula_sum 'Be4 Si2 Ru6'
_symmetry_space_group_name_H-M 'C m m m'
_symmetry_Int_Tables_number 65
_symmetry_space_group_name_Hall '-C 2 2'
_cell_length_a 4.030
_cell_length_b 11.984
_cell_length_c 2.856
_cell_angle_alpha 90.00
_cell_angle_beta 90.00
_cell_angle_gamma 90.00
loop_
_atom_site_label
_atom_site_type_symbol
_atom_site_fract_x
_atom_site_fract_y
_atom_site_fract_z
Be1 Be 0.000 0.165 0.000
Si1 Si 0.000 0.500 0.000
Ru1 Ru 0.000 0.000 0.500
Ru2 Ru 0.000 0.329 0.500
# E_form (uncorrected): -0.403 eV/atom
# Total DFT energy (no corrections): -43.120 eV per formula unit
# Theoretical density: 8.4 g/cm3
# M_tot: 0.0000 μB per atom

# AcAg5S4 | Alexandria | PBE | optimized geometry
data_AcAg5S4
_chemical_formula_sum 'Ac1 Ag5 S4'
_symmetry_space_group_name_H-M 'P -1'
_symmetry_Int_Tables_number 2
_cell_length_a 4.551
_cell_length_b 7.895
_cell_length_c 8.143
_cell_angle_alpha 117.27
_cell_angle_beta 103.48
_cell_angle_gamma 94.84
loop_
_symmetry_equiv_pos_as_xyz
'x,y,z'
'-x,-y,-z'
loop_
_atom_site_label
_atom_site_type_symbol
_atom_site_fract_x
_atom_site_fract_y
_atom_site_fract_z
Ac1 Ac 0.000 0.000 0.000
Ag1 Ag 0.117 0.489 0.774
Ag2 Ag 0.311 0.042 0.632
Ag3 Ag 0.500 0.500 0.500
S1 S 0.106 0.798 0.230
S2 S 0.359 0.759 0.751
# E_form (uncorrected): -0.544 eV/atom
# Total DFT energy (no corrections): -40.318 eV per formula unit
# Theoretical density: 6.0 g/cm3
# M_tot: 0.0000 μB per atom

# Ac4Pt2Cl3 | Alexandria | PBE | optimized geometry
data_Ac4Pt2Cl3
_chemical_formula_sum 'Ac4 Pt2 Cl3'
_symmetry_space_group_name_H-M 'P -3 m 1'
_symmetry_Int_Tables_number 164
_symmetry_space_group_name_Hall '-P 3 2"'
_cell_length_a 4.4006
_cell_length_b 4.4006
_cell_length_c 18.4276
_cell_angle_alpha 90.00
_cell_angle_beta 90.00
_cell_angle_gamma 120.00
loop_
_atom_site_label
_atom_site_type_symbol
_atom_site_fract_x
_atom_site_fract_y
_atom_site_fract_z
Ac1 Ac 0.0000 0.0000 0.1882
Ac2 Ac 0.3333 0.6667 0.3720
Pt1 Pt 0.3333 0.6667 0.7153
Cl1 Cl 0.0000 0.0000 0.5000
Cl2 Cl 0.3333 0.6667 0.0919
# E_form (uncorrected): -1.619 eV/atom
# Total DFT energy (no corrections): -48.628 eV per formula unit
# Theoretical density: 7.5 g/cm3
# M_tot: 0.0000 μB per atom

# LaTe2OsN | Alexandria | PBE | optimized geometry
data_LaTe2OsN
_chemical_formula_sum 'La1 Te2 Os1 N1'
_symmetry_space_group_name_H-M 'P 4/m m m'
_symmetry_Int_Tables_number 123
_symmetry_space_group_name_Hall '-P 4 2'
_cell_length_a 5.572
_cell_length_b 5.572
_cell_length_c 3.792
_cell_angle_alpha 90.00
_cell_angle_beta 90.00
_cell_angle_gamma 90.00
loop_
_atom_site_label
_atom_site_type_symbol
_atom_site_fract_x
_atom_site_fract_y
_atom_site_fract_z
La1 La 0.000 0.000 0.000
Te1 Te 0.000 0.500 0.500
Os1 Os 0.500 0.500 0.500
N1 N 0.500 0.500 0.000
# E_form (uncorrected): -0.370 eV/atom
# Total DFT energy (no corrections): -32.615 eV per formula unit
# Energy above the lowest structure with this stoichiometry: 0.0 meV/atom
# Theoretical density: 8.4 g/cm3
# M_tot: 0.0000 μB per atom

# SmSnH | Alexandria | PBE | optimized geometry
data_SmSnH
_chemical_formula_sum 'Sm2 Sn2 H2'
_symmetry_space_group_name_H-M 'P 1 21/m 1'
_symmetry_Int_Tables_number 11
_cell_length_a 4.262
_cell_length_b 4.378
_cell_length_c 6.546
_cell_angle_alpha 90.00
_cell_angle_beta 108.97
_cell_angle_gamma 90.00
loop_
_symmetry_equiv_pos_as_xyz
'x,y,z'
'-x,-y,-z'
'-x,y+1/2,-z'
'x,-y+1/2,z'
loop_
_atom_site_label
_atom_site_type_symbol
_atom_site_fract_x
_atom_site_fract_y
_atom_site_fract_z
Sm1 Sm 0.156 0.250 0.315
Sn1 Sn 0.429 0.250 0.854
H1 H 0.254 0.750 0.509
# Total DFT energy (no corrections): -13.998 eV per formula unit
# Energy above the lowest structure with this stoichiometry: 0.0 meV/atom
# Theoretical density: 7.8 g/cm3
# M_tot: 0.0000 μB per atom

# TmTh3H8 | Alexandria | PBE | optimized geometry
data_TmTh3H8
_chemical_formula_sum 'Tm1 Th3 H8'
_symmetry_space_group_name_H-M 'P m -3 m'
_symmetry_Int_Tables_number 221
_symmetry_space_group_name_Hall '-P 4 2 3'
_cell_length_a 5.364
_cell_length_b 5.364
_cell_length_c 5.364
_cell_angle_alpha 90.00
_cell_angle_beta 90.00
_cell_angle_gamma 90.00
loop_
_atom_site_label
_atom_site_type_symbol
_atom_site_fract_x
_atom_site_fract_y
_atom_site_fract_z
Tm1 Tm 0.000 0.000 0.000
Th1 Th 0.000 0.500 0.500
H1 H 0.239 0.239 0.239
# Total DFT energy (no corrections): -60.317 eV per formula unit
# Theoretical density: 9.4 g/cm3
# M_tot: 0.0000 μB per atom

# ZrCdPdO4 | Alexandria | PBE | optimized geometry
data_ZrCdPdO4
_chemical_formula_sum 'Zr4 Cd4 Pd4 O16'
_symmetry_space_group_name_H-M 'I m m a'
_symmetry_Int_Tables_number 74
_symmetry_space_group_name_Hall '-I 2b 2'
_cell_length_a 6.113
_cell_length_b 6.390
_cell_length_c 10.431
_cell_angle_alpha 90.00
_cell_angle_beta 90.00
_cell_angle_gamma 90.00
loop_
_atom_site_label
_atom_site_type_symbol
_atom_site_fract_x
_atom_site_fract_y
_atom_site_fract_z
Zr1 Zr 0.000 0.000 0.000
Cd1 Cd 0.000 0.250 0.340
Pd1 Pd 0.250 0.250 0.750
O1 O 0.000 0.039 0.790
O2 O 0.220 0.250 0.031
# E_form (uncorrected): -1.719 eV/atom
# Total DFT energy (no corrections): -46.523 eV per formula unit
# Theoretical density: 6.1 g/cm3
# M_tot: 0.0000 μB per atom

# YErAlCu | Alexandria | PBE | optimized geometry
data_YErAlCu
_chemical_formula_sum 'Y1 Er1 Al1 Cu1'
_symmetry_space_group_name_H-M 'P 4 m m'
_symmetry_Int_Tables_number 99
_cell_length_a 3.465
_cell_length_b 3.465
_cell_length_c 7.343
_cell_angle_alpha 90.00
_cell_angle_beta 90.00
_cell_angle_gamma 90.00
loop_
_symmetry_equiv_pos_as_xyz
'x,y,z'
'-y,x,z'
'-x,-y,z'
'y,-x,z'
'-x,y,z'
'y,x,z'
'x,-y,z'
'-y,-x,z'
loop_
_atom_site_label
_atom_site_type_symbol
_atom_site_fract_x
_atom_site_fract_y
_atom_site_fract_z
Y1 Y 0.000 0.000 0.000
Er1 Er 0.000 0.000 0.528
Al1 Al 0.500 0.500 0.267
Cu1 Cu 0.500 0.500 0.752
# Total DFT energy (no corrections): -20.207 eV per formula unit
# Energy above the lowest structure with this stoichiometry: 0.0 meV/atom
# Theoretical density: 6.5 g/cm3
# Formation enthalpy at 0 K: -0.34 eV/atom
# M_tot: 0.0000 μB per atom

# Pr5Al2Sn | Alexandria | PBE | optimized geometry
data_Pr5Al2Sn
_chemical_formula_sum 'Pr20 Al8 Sn4'
_symmetry_space_group_name_H-M 'I 4/m c m'
_symmetry_Int_Tables_number 140
_symmetry_space_group_name_Hall '-I 4 2c'
_cell_length_a 8.234
_cell_length_b 8.234
_cell_length_c 14.434
_cell_angle_alpha 90.00
_cell_angle_beta 90.00
_cell_angle_gamma 90.00
loop_
_atom_site_label
_atom_site_type_symbol
_atom_site_fract_x
_atom_site_fract_y
_atom_site_fract_z
Pr1 Pr 0.000 0.000 0.000
Pr2 Pr 0.172 0.328 0.148
Al1 Al 0.117 0.383 0.500
Sn1 Sn 0.000 0.000 0.250
# Total DFT energy (no corrections): -38.644 eV per formula unit
# Theoretical density: 6.0 g/cm3
# Formation enthalpy at 0 K: -0.41 eV/atom
# M_tot: 0.0350 μB per atom

# La2Pr3Y4 | Alexandria | PBE | optimized geometry
data_La2Pr3Y4
_chemical_formula_sum 'La2 Pr3 Y4'
_symmetry_space_group_name_H-M 'P 3 m 1'
_symmetry_Int_Tables_number 156
_cell_length_a 3.6592
_cell_length_b 3.6592
_cell_length_c 27.1961
_cell_angle_alpha 90.00
_cell_angle_beta 90.00
_cell_angle_gamma 120.00
loop_
_symmetry_equiv_pos_as_xyz
'x,y,z'
'-y,x-y,z'
'-x+y,-x,z'
'-y,-x,z'
'-x+y,y,z'
'x,x-y,z'
loop_
_atom_site_label
_atom_site_type_symbol
_atom_site_fract_x
_atom_site_fract_y
_atom_site_fract_z
La1 La 0.0000 0.0000 0.0000
La2 La 0.0000 0.0000 0.2283
Pr1 Pr 0.0000 0.0000 0.7827
Pr2 Pr 0.3333 0.6667 0.1176
Pr3 Pr 0.3333 0.6667 0.4600
Y1 Y 0.0000 0.0000 0.3541
Y2 Y 0.0000 0.0000 0.5707
Y3 Y 0.3333 0.6667 0.6737
Y4 Y 0.3333 0.6667 0.8913
# Total DFT energy (no corrections): -49.533 eV per formula unit
# Energy above the lowest structure with this stoichiometry: 0.0 meV/atom
# Theoretical density: 5.6 g/cm3
# Formation enthalpy at 0 K: 0.06 eV/atom
# M_tot: 0.0033 μB per atom

# Tb7Pr | Alexandria | PBE | optimized geometry
data_Tb7Pr
_chemical_formula_sum 'Tb28 Pr4'
_symmetry_space_group_name_H-M 'F m -3 m'
_symmetry_Int_Tables_number 225
_symmetry_space_group_name_Hall '-F 4 2 3'
_cell_length_a 10.110
_cell_length_b 10.110
_cell_length_c 10.110
_cell_angle_alpha 90.00
_cell_angle_beta 90.00
_cell_angle_gamma 90.00
loop_
_atom_site_label
_atom_site_type_symbol
_atom_site_fract_x
_atom_site_fract_y
_atom_site_fract_z
Tb1 Tb 0.000 0.000 0.000
Tb2 Tb 0.000 0.250 0.250
Pr1 Pr 0.000 0.000 0.500
# Total DFT energy (no corrections): -37.086 eV per formula unit
# Theoretical density: 8.1 g/cm3
# Formation enthalpy at 0 K: 0.01 eV/atom
# M_tot: 0.0000 μB per atom